A geometry-optimized Zr3GeF structure. Source: the Alexandria database, functional PBEsol. Values from VASP.

Cell and atoms, written as Quantum ESPRESSO input:
```
&SYSTEM
  ibrav = 0, nat = 5, ntyp = 3
/
ATOMIC_SPECIES
Zr 91.22 Zr.upf
Ge 72.64 Ge.upf
F 19.00 F.upf
ATOMIC_POSITIONS crystal
Zr 0.000 0.000 0.500
Zr 0.000 0.500 0.000
Zr 0.500 0.000 0.000
Ge 0.000 0.000 0.000
F 0.500 0.500 0.500
CELL_PARAMETERS angstrom
5.021 0.000 0.000
0.000 5.021 0.000
0.000 0.000 5.021
```

Summary:
total moment	0.24	μB/atom
energy relative to the elements, uncorrected	0.443	eV per atom
total energy	-31.922	eV/cell

A geometry-optimized H3F2 structure. Source: the Alexandria database, functional PBEsol. Values from VASP.

Cell and atoms, written as Quantum ESPRESSO input:
```
&SYSTEM
  ibrav = 0, nat = 10, ntyp = 2
/
ATOMIC_SPECIES
H 1.01 H.upf
F 19.00 F.upf
ATOMIC_POSITIONS crystal
H 0.000 0.000 0.000
H 0.028 0.498 0.988
H 0.286 0.288 0.554
H 0.445 0.753 0.245
H 0.535 0.841 0.309
H 0.788 0.260 0.566
F 0.040 0.408 0.501
F 0.149 0.709 0.931
F 0.577 0.139 0.623
F 0.880 0.246 0.053
CELL_PARAMETERS angstrom
4.022 0.000 0.000
1.091 3.874 0.000
1.177 0.875 5.711
```

Summary:
total moment	0.00	μB/atom
total energy	-40.390	eV/cell

A geometry-optimized Hf3HF structure. Source: the Alexandria database, functional PBEsol. Values from VASP.

Cell and atoms, written as Quantum ESPRESSO input:
```
&SYSTEM
  ibrav = 0, nat = 5, ntyp = 3
/
ATOMIC_SPECIES
Hf 178.49 Hf.upf
H 1.01 H.upf
F 19.00 F.upf
ATOMIC_POSITIONS crystal
Hf 0.000 0.000 0.500
Hf 0.000 0.500 0.000
Hf 0.500 0.000 0.000
H 0.000 0.000 0.000
F 0.500 0.500 0.500
CELL_PARAMETERS angstrom
4.273 0.000 0.000
0.000 4.273 0.000
0.000 0.000 4.273
```

Summary:
total moment	0.00	μB/atom
total energy	-37.322	eV/cell

A geometry-optimized HfH2IrF structure. Source: the Alexandria database, functional PBEsol. Values from VASP.

Cell and atoms, written as Quantum ESPRESSO input:
```
&SYSTEM
  ibrav = 0, nat = 5, ntyp = 4
/
ATOMIC_SPECIES
Hf 178.49 Hf.upf
H 1.01 H.upf
Ir 192.22 Ir.upf
F 19.00 F.upf
ATOMIC_POSITIONS crystal
Hf 0.000 0.000 0.000
H 0.000 0.500 0.500
H 0.500 0.000 0.500
Ir 0.000 0.000 0.500
F 0.500 0.500 0.000
CELL_PARAMETERS angstrom
3.346 0.000 0.000
0.000 3.346 0.000
0.000 0.000 5.107
```

Summary:
total moment	0.00	μB/atom
total energy	-31.712	eV/cell

A geometry-optimized HfHNF2 structure. Source: the Alexandria database, functional PBEsol. Values from VASP.

Cell and atoms, written as Quantum ESPRESSO input:
```
&SYSTEM
  ibrav = 0, nat = 5, ntyp = 4
/
ATOMIC_SPECIES
Hf 178.49 Hf.upf
H 1.01 H.upf
N 14.01 N.upf
F 19.00 F.upf
ATOMIC_POSITIONS crystal
Hf 0.000 0.000 0.000
H 0.500 0.500 0.500
N 0.000 0.000 0.500
F 0.000 0.500 0.000
F 0.500 0.000 0.000
CELL_PARAMETERS angstrom
4.083 0.000 0.000
0.000 4.083 0.000
0.000 0.000 4.086
```

Summary:
total moment	0.00	μB/atom
total energy	-33.027	eV/cell

A geometry-optimized HfHO2F structure. Source: the Alexandria database, functional PBEsol. Values from VASP.

Cell and atoms, written as Quantum ESPRESSO input:
```
&SYSTEM
  ibrav = 0, nat = 5, ntyp = 4
/
ATOMIC_SPECIES
Hf 178.49 Hf.upf
H 1.01 H.upf
O 16.00 O.upf
F 19.00 F.upf
ATOMIC_POSITIONS crystal
Hf 0.000 0.000 0.000
H 0.500 0.500 0.500
O 0.000 0.500 0.500
O 0.500 0.000 0.500
F 0.500 0.500 0.000
CELL_PARAMETERS angstrom
3.468 0.000 0.000
0.000 3.468 0.000
0.000 0.000 3.085
```

Summary:
total moment	0.00	μB/atom
total energy	-35.167	eV/cell

A geometry-optimized HfPH2F structure. Source: the Alexandria database, functional PBEsol. Values from VASP.

Cell and atoms, written as Quantum ESPRESSO input:
```
&SYSTEM
  ibrav = 0, nat = 5, ntyp = 4
/
ATOMIC_SPECIES
Hf 178.49 Hf.upf
P 30.97 P.upf
H 1.01 H.upf
F 19.00 F.upf
ATOMIC_POSITIONS crystal
Hf 0.000 0.000 0.000
P 0.000 0.000 0.500
H 0.000 0.500 0.500
H 0.500 0.000 0.500
F 0.500 0.500 0.000
CELL_PARAMETERS angstrom
3.339 0.000 0.000
0.000 3.339 0.000
0.000 0.000 5.097
```

Summary:
total moment	0.00	μB/atom
total energy	-27.088	eV/cell

A geometry-optimized HfTaHF2 structure. Source: the Alexandria database, functional PBEsol. Values from VASP.

Cell and atoms, written as Quantum ESPRESSO input:
```
&SYSTEM
  ibrav = 0, nat = 5, ntyp = 4
/
ATOMIC_SPECIES
Hf 178.49 Hf.upf
Ta 180.95 Ta.upf
H 1.01 H.upf
F 19.00 F.upf
ATOMIC_POSITIONS crystal
Hf 0.000 0.000 0.000
Ta 0.500 0.500 0.000
H 0.000 0.000 0.500
F 0.000 0.500 0.500
F 0.500 0.000 0.500
CELL_PARAMETERS angstrom
4.204 0.000 0.000
0.000 4.204 0.000
0.000 0.000 3.525
```

Summary:
total moment	0.00	μB/atom
total energy	-31.179	eV/cell

Number 1: N(E_F) 1.907 states/eV/atom, density 4.79 g/cm³. Number 2: N(E_F) 0.000 states/eV/atom, density 1.53 g/cm³. Number 3: N(E_F) 0.662 states/eV/atom, density 11.82 g/cm³. Number 4: N(E_F) 0.306 states/eV/atom, density 11.38 g/cm³. Number 5: N(E_F) 0.282 states/eV/atom, density 5.64 g/cm³. Number 6: N(E_F) 0.101 states/eV/atom, density 10.32 g/cm³. Number 7: N(E_F) 0.455 states/eV/atom, density 6.74 g/cm³. Number 8: N(E_F) 0.743 states/eV/atom, density 10.62 g/cm³.